# 1
A geometry-optimized Pm3SnC structure, computed with PBE.

As for the formation enthalpy at 0 K: -0.51 eV per atom.

```
data_Pm3SnC
_chemical_formula_sum 'Pm3 Sn1 C1'
_cell_length_a 5.0632
_cell_length_b 5.0632
_cell_length_c 5.0632
_cell_angle_alpha 90.00
_cell_angle_beta 90.00
_cell_angle_gamma 90.00
_symmetry_space_group_name_H-M 'P m -3 m'
_symmetry_Int_Tables_number 221
_symmetry_space_group_name_Hall '-P 4 2 3'
loop_
_atom_site_label
_atom_site_type_symbol
_atom_site_fract_x
_atom_site_fract_y
_atom_site_fract_z
Pm1 Pm 0.0000 0.0000 0.5000
Sn1 Sn 0.5000 0.5000 0.5000
C1 C 0.0000 0.0000 0.0000
```

***

# 2
A geometry-optimized HfHg structure, computed with PBE.

As for the formation enthalpy at 0 K: 0.07 eV per atom.

```
data_HfHg
_chemical_formula_sum 'Hf6 Hg6'
_cell_length_a 3.2536
_cell_length_b 13.6014
_cell_length_c 6.0814
_cell_angle_alpha 90.00
_cell_angle_beta 90.00
_cell_angle_gamma 90.00
_symmetry_space_group_name_H-M 'I m m 2'
_symmetry_Int_Tables_number 44
loop_
_symmetry_equiv_pos_as_xyz
'x,y,z'
'-x,-y,z'
'-x,y,z'
'x,-y,z'
'x+1/2,y+1/2,z+1/2'
'-x+1/2,-y+1/2,z+1/2'
'-x+1/2,y+1/2,z+1/2'
'x+1/2,-y+1/2,z+1/2'
loop_
_atom_site_label
_atom_site_type_symbol
_atom_site_fract_x
_atom_site_fract_y
_atom_site_fract_z
Hf1 Hf 0.0000 0.0000 0.0000
Hf2 Hf 0.0000 0.3471 0.2399
Hg1 Hg 0.0000 0.0000 0.4949
Hg2 Hg 0.0000 0.3367 0.7350
```

***

# 3
A geometry-optimized MgTeOs2 structure, computed with PBE.

The raw formation energy is 0.737 eV/atom. For the distance to the lowest polymorph of the same formula, the calculation gives 0.469 eV per atom.

```
data_MgTeOs2
_chemical_formula_sum 'Mg3 Te3 Os6'
_cell_length_a 3.0407
_cell_length_b 3.0407
_cell_length_c 25.9748
_cell_angle_alpha 90.00
_cell_angle_beta 90.00
_cell_angle_gamma 120.00
_symmetry_space_group_name_H-M 'R -3 m'
_symmetry_Int_Tables_number 166
_symmetry_space_group_name_Hall '-R 3 2"'
loop_
_atom_site_label
_atom_site_type_symbol
_atom_site_fract_x
_atom_site_fract_y
_atom_site_fract_z
Mg1 Mg 0.0000 0.0000 0.0000
Te1 Te 0.0000 0.0000 0.5000
Os1 Os 0.0000 0.0000 0.2474
```

***

# 4
A geometry-optimized TlCdBi2S structure, computed with PBE.

The raw formation energy is 0.710 eV/atom.

```
data_TlCdBi2S
_chemical_formula_sum 'Tl1 Cd1 Bi2 S1'
_cell_length_a 5.9248
_cell_length_b 5.9248
_cell_length_c 5.1078
_cell_angle_alpha 90.00
_cell_angle_beta 90.00
_cell_angle_gamma 90.00
_symmetry_space_group_name_H-M 'P 4/m m m'
_symmetry_Int_Tables_number 123
_symmetry_space_group_name_Hall '-P 4 2'
loop_
_atom_site_label
_atom_site_type_symbol
_atom_site_fract_x
_atom_site_fract_y
_atom_site_fract_z
Tl1 Tl 0.0000 0.0000 0.0000
Cd1 Cd 0.5000 0.5000 0.5000
Bi1 Bi 0.0000 0.5000 0.0000
S1 S 0.0000 0.0000 0.5000
```

***

# 5
A geometry-optimized Li2ScTcS structure, computed with PBE.

The raw formation energy is 0.885 eV/atom.

```
data_Li2ScTcS
_chemical_formula_sum 'Li2 Sc1 Tc1 S1'
_cell_length_a 5.0224
_cell_length_b 5.0224
_cell_length_c 4.5943
_cell_angle_alpha 90.00
_cell_angle_beta 90.00
_cell_angle_gamma 90.00
_symmetry_space_group_name_H-M 'P 4/m m m'
_symmetry_Int_Tables_number 123
_symmetry_space_group_name_Hall '-P 4 2'
loop_
_atom_site_label
_atom_site_type_symbol
_atom_site_fract_x
_atom_site_fract_y
_atom_site_fract_z
Li1 Li 0.0000 0.5000 0.0000
Sc1 Sc 0.0000 0.0000 0.0000
Tc1 Tc 0.5000 0.5000 0.5000
S1 S 0.0000 0.0000 0.5000
```

***

# 6
A geometry-optimized Pm5PrTm2 structure, computed with PBE.

For the distance to the lowest polymorph of the same formula, the calculation gives 0.140 eV per atom. As for the formation enthalpy at 0 K: 0.15 eV per atom.

```
data_Pm5PrTm2
_chemical_formula_sum 'Pm20 Pr4 Tm8'
_cell_length_a 16.8499
_cell_length_b 9.9993
_cell_length_c 6.5401
_cell_angle_alpha 90.00
_cell_angle_beta 98.82
_cell_angle_gamma 90.00
_symmetry_space_group_name_H-M 'C 1 2/c 1'
_symmetry_Int_Tables_number 15
loop_
_symmetry_equiv_pos_as_xyz
'x,y,z'
'-x,-y,-z'
'-x,y,-z+1/2'
'x,-y,z+1/2'
'x+1/2,y+1/2,z'
'-x+1/2,-y+1/2,-z'
'-x+1/2,y+1/2,-z+1/2'
'x+1/2,-y+1/2,z+1/2'
loop_
_atom_site_label
_atom_site_type_symbol
_atom_site_fract_x
_atom_site_fract_y
_atom_site_fract_z
Pm1 Pm 0.0000 0.0530 0.2500
Pm2 Pm 0.0951 0.4042 0.1347
Pm3 Pm 0.1990 0.0887 0.0155
Pr1 Pr 0.2500 0.2500 0.5000
Tm1 Tm 0.0765 0.2544 0.6245
```

***

# 7
A geometry-optimized SrLiDyAg structure, computed with PBE.

As for the formation enthalpy at 0 K: -0.02 eV per atom.

```
data_SrLiDyAg
_chemical_formula_sum 'Sr4 Li4 Dy4 Ag4'
_cell_length_a 7.6186
_cell_length_b 7.6186
_cell_length_c 7.6186
_cell_angle_alpha 90.00
_cell_angle_beta 90.00
_cell_angle_gamma 90.00
_symmetry_space_group_name_H-M 'F -4 3 m'
_symmetry_Int_Tables_number 216
_symmetry_space_group_name_Hall 'F -4 2 3'
loop_
_atom_site_label
_atom_site_type_symbol
_atom_site_fract_x
_atom_site_fract_y
_atom_site_fract_z
Sr1 Sr 0.0000 0.0000 0.0000
Li1 Li 0.2500 0.2500 0.2500
Dy1 Dy 0.0000 0.0000 0.5000
Ag1 Ag 0.2500 0.2500 0.7500
```

***

# 8
A geometry-optimized LiLaErGa structure, computed with PBE.

As for the formation enthalpy at 0 K: -0.29 eV per atom.

```
data_LiLaErGa
_chemical_formula_sum 'Li4 La4 Er4 Ga4'
_cell_length_a 7.3812
_cell_length_b 7.3812
_cell_length_c 7.3812
_cell_angle_alpha 90.00
_cell_angle_beta 90.00
_cell_angle_gamma 90.00
_symmetry_space_group_name_H-M 'F -4 3 m'
_symmetry_Int_Tables_number 216
_symmetry_space_group_name_Hall 'F -4 2 3'
loop_
_atom_site_label
_atom_site_type_symbol
_atom_site_fract_x
_atom_site_fract_y
_atom_site_fract_z
Li1 Li 0.0000 0.0000 0.0000
La1 La 0.2500 0.2500 0.2500
Er1 Er 0.2500 0.2500 0.7500
Ga1 Ga 0.0000 0.0000 0.5000
```

***

# 9
A geometry-optimized NdErSnPb structure, computed with PBE.

As for the formation enthalpy at 0 K: -0.46 eV per atom.

```
data_NdErSnPb
_chemical_formula_sum 'Nd4 Er4 Sn4 Pb4'
_cell_length_a 7.7230
_cell_length_b 7.7230
_cell_length_c 7.7230
_cell_angle_alpha 90.00
_cell_angle_beta 90.00
_cell_angle_gamma 90.00
_symmetry_space_group_name_H-M 'F -4 3 m'
_symmetry_Int_Tables_number 216
_symmetry_space_group_name_Hall 'F -4 2 3'
loop_
_atom_site_label
_atom_site_type_symbol
_atom_site_fract_x
_atom_site_fract_y
_atom_site_fract_z
Nd1 Nd 0.0000 0.0000 0.0000
Er1 Er 0.0000 0.0000 0.5000
Sn1 Sn 0.2500 0.2500 0.2500
Pb1 Pb 0.2500 0.2500 0.7500
```

***

# 10
A geometry-optimized Tl2Re4Pt structure, computed with PBE.

As for the formation enthalpy at 0 K: 2.30 eV per atom.

```
data_Tl2Re4Pt
_chemical_formula_sum 'Tl4 Re8 Pt2'
_cell_length_a 4.7669
_cell_length_b 4.7669
_cell_length_c 14.3143
_cell_angle_alpha 90.00
_cell_angle_beta 90.00
_cell_angle_gamma 90.00
_symmetry_space_group_name_H-M 'I 4/m m m'
_symmetry_Int_Tables_number 139
_symmetry_space_group_name_Hall '-I 4 2'
loop_
_atom_site_label
_atom_site_type_symbol
_atom_site_fract_x
_atom_site_fract_y
_atom_site_fract_z
Tl1 Tl 0.0000 0.0000 0.1326
Re1 Re 0.0000 0.0000 0.3242
Re2 Re 0.0000 0.5000 0.0000
Pt1 Pt 0.0000 0.0000 0.5000
```

***

# 11
A geometry-optimized NiIr structure, computed with PBE.

As for the formation enthalpy at 0 K: 0.27 eV per atom.

```
data_NiIr
_chemical_formula_sum 'Ni8 Ir8'
_cell_length_a 7.0237
_cell_length_b 7.0237
_cell_length_c 4.4220
_cell_angle_alpha 90.00
_cell_angle_beta 90.00
_cell_angle_gamma 90.00
_symmetry_space_group_name_H-M 'P 4/m n c'
_symmetry_Int_Tables_number 128
_symmetry_space_group_name_Hall '-P 4 2n'
loop_
_atom_site_label
_atom_site_type_symbol
_atom_site_fract_x
_atom_site_fract_y
_atom_site_fract_z
Ni1 Ni 0.0710 0.2440 0.0000
Ir1 Ir 0.0816 0.7505 0.5000
```

***

# 12
A geometry-optimized InCuSCl2 structure, computed with PBE.

The raw formation energy is -0.243 eV/atom. For the distance to the lowest polymorph of the same formula, the calculation gives 0.000 eV per atom.

```
data_InCuSCl2
_chemical_formula_sum 'In1 Cu1 S1 Cl2'
_cell_length_a 4.6437
_cell_length_b 4.6437
_cell_length_c 4.9678
_cell_angle_alpha 90.00
_cell_angle_beta 90.00
_cell_angle_gamma 90.00
_symmetry_space_group_name_H-M 'P 4/m m m'
_symmetry_Int_Tables_number 123
_symmetry_space_group_name_Hall '-P 4 2'
loop_
_atom_site_label
_atom_site_type_symbol
_atom_site_fract_x
_atom_site_fract_y
_atom_site_fract_z
In1 In 0.0000 0.0000 0.0000
Cu1 Cu 0.5000 0.5000 0.5000
S1 S 0.5000 0.5000 0.0000
Cl1 Cl 0.0000 0.5000 0.5000
```